# 1
VASP calculation (PBE-GGA) on crystalline Sc2MnCr at its relaxed geometry.

Unit cell a=5.396 b=5.396 c=5.396 alpha=142.56 beta=130.10 gamma=64.01
Site moments in Bohr magnetons follow the coordinates.
Element x y z (fractional)
Cr 0.750 0.250 0.500  3.02
Sc 0.480 0.480 0.000  0.00
Sc 0.020 0.020 0.000  0.00
Mn 0.250 0.750 0.500  -2.93

The space group is Immm. For the total energy, the calculation gives -7.5422 eV/atom. The energy relative to the lowest polymorph listed for this composition is 0.248 eV/atom. As for the energy of formation from the pure elements: 0.32 eV/atom. As for the total moment: 0.32 μB/f.u.

---

# 2
VASP calculation (PBE-GGA) on crystalline Fe2Sb at its relaxed geometry.

Unit cell a=6.553 b=6.553 c=4.246 alpha=90.00 beta=90.00 gamma=150.60
Site moments in Bohr magnetons follow the coordinates.
Element x y z (fractional)
Fe 0.768 0.232 0.750  2.47
Fe 0.423 0.577 0.750  2.20
Fe 0.577 0.423 0.250  2.20
Fe 0.232 0.768 0.250  2.47
Sb 0.899 0.101 0.250  -0.04
Sb 0.101 0.899 0.750  -0.04

The space group is Cmcm. For the total energy, the calculation gives -6.8134 eV/atom. As for the uncorrected formation energy: 0.203 eV/atom. As for the total moment: 4.58 μB/f.u.

---

# 3
VASP calculation (PBE-GGA) on crystalline Dy3URu4 at its relaxed geometry.

Unit cell a=7.386 b=7.386 c=7.386 alpha=64.19 beta=145.25 gamma=127.86
Site moments in Bohr magnetons follow the coordinates.
Element x y z (fractional)
Dy 0.331 0.274 0.605  -0.01
Dy 0.331 0.726 0.057  -0.01
Dy 0.331 0.000 0.331  0.04
Ru 0.831 0.145 0.977  -0.01
Ru 0.537 0.706 0.831  -0.10
Ru 0.831 0.855 0.686  -0.01
Ru 0.126 0.294 0.831  -0.10
U 0.831 0.500 0.331  0.91

The space group is Immm. For the total energy, the calculation gives -7.8459 eV/atom. The energy relative to the lowest polymorph listed for this composition is 0.259 eV/atom. As for the energy of formation from the pure elements: -0.07 eV/atom. As for the total moment: 0.77 μB/f.u.

---

# 4
VASP calculation (PBE-GGA) on crystalline Ni2Ru2Se at its relaxed geometry.

Unit cell a=6.235 b=6.235 c=3.731 alpha=90.00 beta=90.00 gamma=90.00
Site moments in Bohr magnetons follow the coordinates.
Element x y z (fractional)
Ni 0.357 0.143 0.500  0.51
Ni 0.143 0.643 0.500  0.50
Ni 0.643 0.857 0.500  0.51
Ni 0.857 0.357 0.500  0.50
Ru 0.146 0.354 0.000  0.35
Ru 0.646 0.146 0.000  0.35
Ru 0.854 0.646 0.000  0.35
Ru 0.354 0.854 0.000  0.35
Se 0.500 0.500 0.000  0.00
Se 0.000 0.000 0.000  0.00

The space group is P4/mbm. For the total energy, the calculation gives -6.3507 eV/atom. The energy relative to the lowest polymorph listed for this composition is 0.000 eV/atom. As for the uncorrected formation energy: 0.369 eV/atom. As for the total moment: 1.72 μB/f.u.